First-principles (meta-GGA SCAN) data for a PBEsol-optimized structure of InIrPb, as listed in Alexandria.

Calculated values
Energy above the lowest structure with this stoichiometry (meV per atom): 0.0
Energy (eV per formula unit): -180.32
D(E_F) (states/eV per cell): 6.1

CIF file:
```
data_InIrPb
_cell_length_a 6.4480
_cell_length_b 6.4480
_cell_length_c 6.4480
_cell_angle_alpha 90.00
_cell_angle_beta 90.00
_cell_angle_gamma 90.00
_space_group_name_H-M_alt 'F -4 3 m'
_space_group_IT_number 216
_space_group_name_Hall 'F -4 2 3'
loop_
_atom_site_label
_atom_site_type_symbol
_atom_site_fract_x
_atom_site_fract_y
_atom_site_fract_z
_atom_site_occupancy
In1 In 0.0000 0.0000 0.0000 1
Ir1 Ir 0.2500 0.2500 0.2500 1
Pb1 Pb 0.0000 0.0000 0.5000 1
```



First-principles (meta-GGA SCAN) data for a PBEsol-optimized structure of BaSrPrCu3O7, as listed in Alexandria.

Calculated values
Energy relative to the elements, uncorrected (eV per atom): -2.03
Energy (eV per formula unit): -220.81
D(E_F) (states/eV per cell): 2.6

CIF file:
```
data_BaSrPrCu3O7
_cell_length_a 3.7936
_cell_length_b 3.8825
_cell_length_c 11.5210
_cell_angle_alpha 90.00
_cell_angle_beta 90.00
_cell_angle_gamma 90.00
_space_group_name_H-M_alt 'P m m 2'
_space_group_IT_number 25
_space_group_name_Hall 'P 2 -2'
loop_
_atom_site_label
_atom_site_type_symbol
_atom_site_fract_x
_atom_site_fract_y
_atom_site_fract_z
_atom_site_occupancy
Ba1 Ba 0.0000 0.0000 0.0000 1
Sr1 Sr 0.0000 0.0000 0.6420 1
Pr1 Pr 0.0000 0.0000 0.3259 1
Cu1 Cu 0.5000 0.5000 0.1682 1
Cu2 Cu 0.5000 0.5000 0.4826 1
Cu3 Cu 0.5000 0.5000 0.8192 1
O1 O 0.0000 0.5000 0.1934 1
O2 O 0.0000 0.5000 0.4597 1
O3 O 0.5000 0.0000 0.1916 1
O4 O 0.5000 0.0000 0.4624 1
O5 O 0.5000 0.0000 0.8088 1
O6 O 0.5000 0.5000 0.6597 1
O7 O 0.5000 0.5000 0.9798 1
```



| no. | M_tot (Bohr magnetons per cell) |
| --- | --- |
| 1 | 0.0 |
| 2 | 0.0 |